one:
VASP calculation (GGA-PBE) on an optimized crystal structure of NbPIrCl2.

a = 4.9258 Å, b = 4.9258 Å, c = 4.4915 Å
α = 90.00°, β = 90.00°, γ = 90.00°
Last column: nearest neighbours and their distance in Å.
Sites, in units of the cell vectors:
Nb 0.0000 0.0000 0.0000  8 Cl 3.33, 4 P 3.48
P 0.5000 0.5000 0.0000  2 Ir 2.25
Ir 0.5000 0.5000 0.5000  2 P 2.25, 4 Cl 2.46
Cl 0.0000 0.5000 0.5000  2 Ir 2.46
Cl 0.5000 0.0000 0.5000  2 Ir 2.46

Results
* ρ: 5897 kg/m3
* space group: P4/mmm, No. 123
* total magnetic moment: 3.31 μB per formula unit


two:
VASP calculation (GGA-PBE) on an optimized crystal structure of NbPIrCl2.

a = 4.6668 Å, b = 4.6668 Å, c = 5.1363 Å
α = 90.00°, β = 90.00°, γ = 90.00°
Last column: nearest neighbours and their distance in Å.
Sites, in units of the cell vectors:
Nb 0.0000 0.0000 0.0000  4 Cl 2.33, 2 P 2.57
P 0.0000 0.0000 0.5000  2 Nb 2.57
Ir 0.5000 0.5000 0.5000  4 P 3.30, 8 Cl 3.47
Cl 0.0000 0.5000 0.0000  2 Nb 2.33
Cl 0.5000 0.0000 0.0000  2 Nb 2.33

Results
* ρ: 5745 kg/m3
* space group: P4/mmm, No. 123
* total magnetic moment: 1.99 μB per formula unit


In meV per atom, relative to the most stable structure: one 0; two 14.